Compound: LaSm2Dy5Sc
Source: Alexandria via LeMat-Bulk
Functional: PBE-GGA
Structure: optimized geometry

Values from the calculation:
**Crystal system**: tetragonal
**Total magnetization**: 0.00 μB per cell
**ΔH_f (0 K)**: 6.36 kcal/mol of atoms

a b c (Å): 8.7127 8.7127 15.2792
angles (deg): 90.00 90.00 90.00
Closest atoms and distances in Å follow each position.
Space group I4/mcm (No. 140)
Symmetry-distinct sites (fractional):
La 0.0000 0.0000 0.2500  10 Dy 3.57-3.82
Sm 0.1183 0.3817 0.0000  1 Sm 2.92, 2 Dy 3.04
Dy 0.0000 0.0000 0.0000  4 Sm 3.48, 8 Dy 3.78, 2 La 3.82
Dy 0.2037 0.2963 0.3621  1 Sc 3.04, 1 Sm 3.04
Sc 0.0000 0.5000 0.2500  4 Dy 3.04